The following is a DFT calculation (GGA-PBEsol) of RbCdAsBr2 after structural relaxation.

Results
DOS at the Fermi energy = 0.887 states/eV/cell
calculated density = 4.26 g/cm³
magnetization = 1.98 μB per formula unit
DFT total energy = -13.48 eV for the cell shown
formation energy (no corrections) = -2.408 eV per formula unit

a b c (Å): 5.186 5.703 5.703
angles (deg): 90.00 90.00 90.00
Last column: magnetic moment on the atom in μB.
Fractional coordinates of all 5 atoms:
As 0.500 0.000 0.000  0.77
Br 0.000 0.000 0.500  0.08
Br 0.000 0.500 0.000  0.08
Rb 0.500 0.500 0.500  0.01
Cd 0.000 0.000 0.000  0.01


The following is a DFT calculation (GGA-PBEsol) of CdSbAs2Br after structural relaxation.

Results
offset from the most stable computed form = 0.00 eV per formula unit
DOS at the Fermi energy = 5.820 states/eV/cell
calculated density = 5.15 g/cm³
magnetization = 0.27 μB per formula unit
DFT total energy = -14.59 eV for the cell shown
formation energy (no corrections) = 3.249 eV per formula unit

a b c (Å): 5.269 5.269 5.387
angles (deg): 90.00 90.00 90.00
Last column: magnetic moment on the atom in μB.
Fractional coordinates of all 5 atoms:
Sb 0.000 0.000 0.000  0.00
As 0.000 0.500 0.000  0.06
As 0.500 0.000 0.000  0.06
Br 0.000 0.000 0.500  0.01
Cd 0.500 0.500 0.500  0.00


The following is a DFT calculation (GGA-PBEsol) of CdSiAsBr2 after structural relaxation.

Results
DOS at the Fermi energy = 2.632 states/eV/cell
calculated density = 5.07 g/cm³
magnetization = 0.00 μB per formula unit
DFT total energy = -14.94 eV for the cell shown
formation energy (no corrections) = 0.855 eV per formula unit

a b c (Å): 4.940 4.940 5.034
angles (deg): 90.00 90.00 90.00
Fractional coordinates of all 5 atoms:
As 0.000 0.000 0.500
Si 0.000 0.000 0.000
Br 0.000 0.500 0.000
Br 0.500 0.000 0.000
Cd 0.500 0.500 0.500